# PBE-GGA BaFePb, relaxed
data_BaFePb
_cell_length_a 3.749
_cell_length_b 3.749
_cell_length_c 12.336
_cell_angle_alpha 90.00
_cell_angle_beta 90.00
_cell_angle_gamma 90.00
_space_group_name_H-M_alt 'I 4 m m'
_space_group_IT_number 107
_space_group_name_Hall 'I 4 -2'
loop_
_atom_site_label
_atom_site_fract_x
_atom_site_fract_y
_atom_site_fract_z
Ba1 0.000 0.000 0.000
Fe1 0.000 0.000 0.704
Pb1 0.000 0.000 0.280
# Energy relative to the elements (meV/atom): 303

---

# PBE-GGA BaFePb2, relaxed
data_BaFePb2
_cell_length_a 7.562
_cell_length_b 7.562
_cell_length_c 7.562
_cell_angle_alpha 90.00
_cell_angle_beta 90.00
_cell_angle_gamma 90.00
_space_group_name_H-M_alt 'F m -3 m'
_space_group_IT_number 225
_space_group_name_Hall '-F 4 2 3'
loop_
_atom_site_label
_atom_site_fract_x
_atom_site_fract_y
_atom_site_fract_z
Ba1 0.000 0.000 0.000
Fe1 0.000 0.000 0.500
Pb1 0.250 0.250 0.250
# Energy relative to the elements (meV/atom): 547

---

# PBE-GGA BaFePb2, relaxed
data_BaFePb2
_cell_length_a 8.014
_cell_length_b 4.633
_cell_length_c 7.126
_cell_angle_alpha 90.00
_cell_angle_beta 112.11
_cell_angle_gamma 90.00
_space_group_name_H-M_alt 'C 1 2/m 1'
_space_group_IT_number 12
loop_
_space_group_symop_operation_xyz
'x,y,z'
'-x,-y,-z'
'-x,y,-z'
'x,-y,z'
'x+1/2,y+1/2,z'
'-x+1/2,-y+1/2,-z'
'-x+1/2,y+1/2,-z'
'x+1/2,-y+1/2,z'
loop_
_atom_site_label
_atom_site_fract_x
_atom_site_fract_y
_atom_site_fract_z
Ba1 0.000 0.000 0.000
Fe1 0.000 0.500 0.500
Pb1 0.217 0.000 0.650
# Energy relative to the elements (meV/atom): 21

---

# PBE-GGA BaFe4Pb, relaxed
data_BaFe4Pb
_cell_length_a 7.617
_cell_length_b 7.617
_cell_length_c 7.617
_cell_angle_alpha 90.00
_cell_angle_beta 90.00
_cell_angle_gamma 90.00
_space_group_name_H-M_alt 'F -4 3 m'
_space_group_IT_number 216
_space_group_name_Hall 'F -4 2 3'
loop_
_atom_site_label
_atom_site_fract_x
_atom_site_fract_y
_atom_site_fract_z
Ba1 0.000 0.000 0.000
Fe1 0.121 0.121 0.621
Pb1 0.250 0.250 0.250
# Energy relative to the elements (meV/atom): 532

---

# PBE-GGA BaFePb2, relaxed
data_BaFePb2
_cell_length_a 3.867
_cell_length_b 4.448
_cell_length_c 14.418
_cell_angle_alpha 90.00
_cell_angle_beta 90.00
_cell_angle_gamma 90.00
_space_group_name_H-M_alt 'I m m 2'
_space_group_IT_number 44
loop_
_space_group_symop_operation_xyz
'x,y,z'
'-x,-y,z'
'-x,y,z'
'x,-y,z'
'x+1/2,y+1/2,z+1/2'
'-x+1/2,-y+1/2,z+1/2'
'-x+1/2,y+1/2,z+1/2'
'x+1/2,-y+1/2,z+1/2'
loop_
_atom_site_label
_atom_site_fract_x
_atom_site_fract_y
_atom_site_fract_z
Ba1 0.000 0.000 0.000
Fe1 0.000 0.500 0.722
Pb1 0.000 0.000 0.360
Pb2 0.000 0.500 0.196
# Energy relative to the elements (meV/atom): 188

---

# PBE-GGA BaFePb, relaxed
data_BaFePb
_cell_length_a 4.6846
_cell_length_b 4.6846
_cell_length_c 5.1867
_cell_angle_alpha 90.00
_cell_angle_beta 90.00
_cell_angle_gamma 120.00
_space_group_name_H-M_alt 'P -6 m 2'
_space_group_IT_number 187
_space_group_name_Hall 'P -6 2'
loop_
_atom_site_label
_atom_site_fract_x
_atom_site_fract_y
_atom_site_fract_z
Ba1 0.0000 0.0000 0.0000
Fe1 0.6667 0.3333 0.5000
Pb1 0.3333 0.6667 0.5000
# Energy relative to the elements (meV/atom): 170

---

# PBE-GGA BaFePb2, relaxed
data_BaFePb2
_cell_length_a 6.238
_cell_length_b 6.238
_cell_length_c 15.394
_cell_angle_alpha 90.00
_cell_angle_beta 90.00
_cell_angle_gamma 90.00
_space_group_name_H-M_alt 'I -4 2 d'
_space_group_IT_number 122
_space_group_name_Hall 'I -4 2bw'
loop_
_atom_site_label
_atom_site_fract_x
_atom_site_fract_y
_atom_site_fract_z
Ba1 0.000 0.000 0.000
Fe1 0.000 0.000 0.500
Pb1 0.030 0.250 0.625
# Energy relative to the elements (meV/atom): 291

---

# PBE-GGA BaFePb2, relaxed
data_BaFePb2
_cell_length_a 7.857
_cell_length_b 7.857
_cell_length_c 7.857
_cell_angle_alpha 90.00
_cell_angle_beta 90.00
_cell_angle_gamma 90.00
_space_group_name_H-M_alt 'F -4 3 m'
_space_group_IT_number 216
_space_group_name_Hall 'F -4 2 3'
loop_
_atom_site_label
_atom_site_fract_x
_atom_site_fract_y
_atom_site_fract_z
Ba1 0.000 0.000 0.000
Fe1 0.250 0.250 0.750
Pb1 0.000 0.000 0.500
Pb2 0.250 0.250 0.250
# Energy relative to the elements (meV/atom): 374

---

# PBE-GGA BaFePb, relaxed
data_BaFePb
_cell_length_a 7.241
_cell_length_b 7.241
_cell_length_c 7.241
_cell_angle_alpha 90.00
_cell_angle_beta 90.00
_cell_angle_gamma 90.00
_space_group_name_H-M_alt 'F -4 3 m'
_space_group_IT_number 216
_space_group_name_Hall 'F -4 2 3'
loop_
_atom_site_label
_atom_site_fract_x
_atom_site_fract_y
_atom_site_fract_z
Ba1 0.000 0.000 0.000
Fe1 0.250 0.250 0.250
Pb1 0.000 0.000 0.500
# Energy relative to the elements (meV/atom): 410

---

# PBE-GGA BaFePb2, relaxed
data_BaFePb2
_cell_length_a 6.889
_cell_length_b 10.146
_cell_length_c 3.448
_cell_angle_alpha 90.00
_cell_angle_beta 90.00
_cell_angle_gamma 90.00
_space_group_name_H-M_alt 'C m m m'
_space_group_IT_number 65
_space_group_name_Hall '-C 2 2'
loop_
_atom_site_label
_atom_site_fract_x
_atom_site_fract_y
_atom_site_fract_z
Ba1 0.000 0.000 0.000
Fe1 0.000 0.500 0.000
Pb1 0.250 0.250 0.500
# Energy relative to the elements (meV/atom): 407

---

# PBE-GGA BaFePb2, relaxed
data_BaFePb2
_cell_length_a 4.903
_cell_length_b 4.903
_cell_length_c 5.015
_cell_angle_alpha 90.00
_cell_angle_beta 90.00
_cell_angle_gamma 90.00
_space_group_name_H-M_alt 'P 4/m m m'
_space_group_IT_number 123
_space_group_name_Hall '-P 4 2'
loop_
_atom_site_label
_atom_site_fract_x
_atom_site_fract_y
_atom_site_fract_z
Ba1 0.000 0.000 0.000
Fe1 0.500 0.500 0.000
Pb1 0.000 0.500 0.500
# Energy relative to the elements (meV/atom): 313

---

# PBE-GGA BaFePb2, relaxed
data_BaFePb2
_cell_length_a 7.983
_cell_length_b 4.602
_cell_length_c 7.352
_cell_angle_alpha 90.00
_cell_angle_beta 111.19
_cell_angle_gamma 90.00
_space_group_name_H-M_alt 'C 1 m 1'
_space_group_IT_number 8
loop_
_space_group_symop_operation_xyz
'x,y,z'
'x,-y,z'
'x+1/2,y+1/2,z'
'x+1/2,-y+1/2,z'
loop_
_atom_site_label
_atom_site_fract_x
_atom_site_fract_y
_atom_site_fract_z
Ba1 0.000 0.000 0.000
Fe1 0.321 0.500 0.467
Pb1 0.210 0.000 0.633
Pb2 0.445 0.000 0.337
# Energy relative to the elements (meV/atom): 80

---

# PBE-GGA BaFeRePb2, relaxed
data_BaFeRePb2
_cell_length_a 5.242
_cell_length_b 5.242
_cell_length_c 4.810
_cell_angle_alpha 90.00
_cell_angle_beta 90.00
_cell_angle_gamma 90.00
_space_group_name_H-M_alt 'P 4/m m m'
_space_group_IT_number 123
_space_group_name_Hall '-P 4 2'
loop_
_atom_site_label
_atom_site_fract_x
_atom_site_fract_y
_atom_site_fract_z
Ba1 0.000 0.000 0.000
Fe1 0.500 0.500 0.500
Re1 0.500 0.500 0.000
Pb1 0.000 0.500 0.500
# Energy relative to the elements (meV/atom): 751

---

# PBE-GGA BaFeSiPb2, relaxed
data_BaFeSiPb2
_cell_length_a 5.339
_cell_length_b 5.339
_cell_length_c 4.596
_cell_angle_alpha 90.00
_cell_angle_beta 90.00
_cell_angle_gamma 90.00
_space_group_name_H-M_alt 'P 4/m m m'
_space_group_IT_number 123
_space_group_name_Hall '-P 4 2'
loop_
_atom_site_label
_atom_site_fract_x
_atom_site_fract_y
_atom_site_fract_z
Ba1 0.000 0.000 0.000
Fe1 0.500 0.500 0.500
Si1 0.500 0.500 0.000
Pb1 0.000 0.500 0.500
# Uncorrected formation energy (eV/atom): 0.1359
# Energy relative to the lowest polymorph listed for this composition (eV/atom): 0.000

---

# PBE-GGA BaFeSiPb2, relaxed
data_BaFeSiPb2
_cell_length_a 6.243
_cell_length_b 6.243
_cell_length_c 4.786
_cell_angle_alpha 90.00
_cell_angle_beta 90.00
_cell_angle_gamma 90.00
_space_group_name_H-M_alt 'P 4/m m m'
_space_group_IT_number 123
_space_group_name_Hall '-P 4 2'
loop_
_atom_site_label
_atom_site_fract_x
_atom_site_fract_y
_atom_site_fract_z
Ba1 0.000 0.000 0.000
Fe1 0.000 0.000 0.500
Si1 0.500 0.500 0.500
Pb1 0.000 0.500 0.000
# Uncorrected formation energy (eV/atom): 1.8658
# Energy relative to the lowest polymorph listed for this composition (eV/atom): 1.730

---

# PBE-GGA BaTaFe2Pb, relaxed
data_BaTaFe2Pb
_cell_length_a 4.670
_cell_length_b 4.670
_cell_length_c 5.892
_cell_angle_alpha 90.00
_cell_angle_beta 90.00
_cell_angle_gamma 90.00
_space_group_name_H-M_alt 'P 4/m m m'
_space_group_IT_number 123
_space_group_name_Hall '-P 4 2'
loop_
_atom_site_label
_atom_site_fract_x
_atom_site_fract_y
_atom_site_fract_z
Ba1 0.000 0.000 0.000
Ta1 0.000 0.000 0.500
Fe1 0.000 0.500 0.500
Pb1 0.500 0.500 0.000
# Energy relative to the elements (meV/atom): 1388

---

# PBE-GGA BaZrFePb2, relaxed
data_BaZrFePb2
_cell_length_a 5.158
_cell_length_b 5.158
_cell_length_c 5.320
_cell_angle_alpha 90.00
_cell_angle_beta 90.00
_cell_angle_gamma 90.00
_space_group_name_H-M_alt 'P 4/m m m'
_space_group_IT_number 123
_space_group_name_Hall '-P 4 2'
loop_
_atom_site_label
_atom_site_fract_x
_atom_site_fract_y
_atom_site_fract_z
Ba1 0.000 0.000 0.000
Zr1 0.500 0.500 0.000
Fe1 0.000 0.000 0.500
Pb1 0.000 0.500 0.500
# Energy relative to the elements (meV/atom): 703

---

# PBE-GGA BaFe2Pd2, relaxed
data_BaFe2Pd2
_cell_length_a 4.373
_cell_length_b 4.373
_cell_length_c 9.783
_cell_angle_alpha 90.00
_cell_angle_beta 90.00
_cell_angle_gamma 90.00
_space_group_name_H-M_alt 'I 4/m m m'
_space_group_IT_number 139
_space_group_name_Hall '-I 4 2'
loop_
_atom_site_label
_atom_site_fract_x
_atom_site_fract_y
_atom_site_fract_z
Ba1 0.000 0.000 0.000
Fe1 0.000 0.000 0.397
Pd1 0.000 0.500 0.250
# Energy relative to the elements (meV/atom): 375

---

# PBE-GGA BaFe2Pd2, relaxed
data_BaFe2Pd2
_cell_length_a 4.414
_cell_length_b 4.414
_cell_length_c 10.833
_cell_angle_alpha 90.00
_cell_angle_beta 90.00
_cell_angle_gamma 90.00
_space_group_name_H-M_alt 'I 4/m m m'
_space_group_IT_number 139
_space_group_name_Hall '-I 4 2'
loop_
_atom_site_label
_atom_site_fract_x
_atom_site_fract_y
_atom_site_fract_z
Ba1 0.000 0.000 0.000
Fe1 0.000 0.500 0.250
Pd1 0.000 0.000 0.366
# Energy relative to the elements (meV/atom): 77

---

# PBE-GGA BaFePd3, relaxed
data_BaFePd3
_cell_length_a 4.831
_cell_length_b 4.831
_cell_length_c 4.831
_cell_angle_alpha 90.00
_cell_angle_beta 90.00
_cell_angle_gamma 90.00
_space_group_name_H-M_alt 'P m -3 m'
_space_group_IT_number 221
_space_group_name_Hall '-P 4 2 3'
loop_
_atom_site_label
_atom_site_fract_x
_atom_site_fract_y
_atom_site_fract_z
Ba1 0.000 0.000 0.000
Fe1 0.500 0.500 0.500
Pd1 0.000 0.500 0.500
# Energy relative to the lowest polymorph listed for this composition (eV/atom): 0.000
# Energy relative to the elements (meV/atom): 26

---

# PBE-GGA BaFePd2, relaxed
data_BaFePd2
_cell_length_a 7.021
_cell_length_b 7.021
_cell_length_c 7.021
_cell_angle_alpha 90.00
_cell_angle_beta 90.00
_cell_angle_gamma 90.00
_space_group_name_H-M_alt 'F m -3 m'
_space_group_IT_number 225
_space_group_name_Hall '-F 4 2 3'
loop_
_atom_site_label
_atom_site_fract_x
_atom_site_fract_y
_atom_site_fract_z
Ba1 0.000 0.000 0.000
Fe1 0.000 0.000 0.500
Pd1 0.250 0.250 0.250
# Energy relative to the elements (meV/atom): 289

---

# PBE-GGA BaFePd2, relaxed
data_BaFePd2
_cell_length_a 5.228
_cell_length_b 5.228
_cell_length_c 16.444
_cell_angle_alpha 90.00
_cell_angle_beta 90.00
_cell_angle_gamma 90.00
_space_group_name_H-M_alt 'I -4 2 d'
_space_group_IT_number 122
_space_group_name_Hall 'I -4 2bw'
loop_
_atom_site_label
_atom_site_fract_x
_atom_site_fract_y
_atom_site_fract_z
Ba1 0.000 0.000 0.000
Fe1 0.000 0.000 0.500
Pd1 0.002 0.250 0.625
# Energy relative to the elements (meV/atom): 81

---

# PBE-GGA BaFePd3, relaxed
data_BaFePd3
_cell_length_a 5.318
_cell_length_b 5.318
_cell_length_c 5.318
_cell_angle_alpha 90.00
_cell_angle_beta 90.00
_cell_angle_gamma 90.00
_space_group_name_H-M_alt 'P m -3 m'
_space_group_IT_number 221
_space_group_name_Hall '-P 4 2 3'
loop_
_atom_site_label
_atom_site_fract_x
_atom_site_fract_y
_atom_site_fract_z
Ba1 0.000 0.000 0.000
Fe1 0.500 0.500 0.500
Pd1 0.000 0.000 0.500
# Energy relative to the lowest polymorph listed for this composition (eV/atom): 1.821
# Energy relative to the elements (meV/atom): 1848

---

# PBE-GGA BaFe2Pd, relaxed
data_BaFe2Pd
_cell_length_a 6.767
_cell_length_b 6.767
_cell_length_c 6.767
_cell_angle_alpha 90.00
_cell_angle_beta 90.00
_cell_angle_gamma 90.00
_space_group_name_H-M_alt 'F m -3 m'
_space_group_IT_number 225
_space_group_name_Hall '-F 4 2 3'
loop_
_atom_site_label
_atom_site_fract_x
_atom_site_fract_y
_atom_site_fract_z
Ba1 0.000 0.000 0.000
Fe1 0.250 0.250 0.250
Pd1 0.000 0.000 0.500
# Energy relative to the elements (meV/atom): 788

---

# PBE-GGA BaFe2Pd2, relaxed
data_BaFe2Pd2
_cell_length_a 7.913
_cell_length_b 7.913
_cell_length_c 2.982
_cell_angle_alpha 90.00
_cell_angle_beta 90.00
_cell_angle_gamma 90.00
_space_group_name_H-M_alt 'P 4/m b m'
_space_group_IT_number 127
_space_group_name_Hall '-P 4 2ab'
loop_
_atom_site_label
_atom_site_fract_x
_atom_site_fract_y
_atom_site_fract_z
Ba1 0.000 0.000 0.000
Fe1 0.106 0.394 0.000
Pd1 0.175 0.675 0.500
# Energy relative to the elements (meV/atom): 172

---

# PBE-GGA BaFe2Pd, relaxed
data_BaFe2Pd
_cell_length_a 4.759
_cell_length_b 4.759
_cell_length_c 17.904
_cell_angle_alpha 90.00
_cell_angle_beta 90.00
_cell_angle_gamma 90.00
_space_group_name_H-M_alt 'I 41/a m d'
_space_group_IT_number 141
loop_
_space_group_symop_operation_xyz
'x,y,z'
'-x,-y,-z'
'-y+1/4,x+3/4,z+1/4'
'y+1/4,-x+3/4,-z+1/4'
'-x+1/2,-y,z+1/2'
'x+1/2,y,-z+1/2'
'y+1/4,-x+1/4,z+3/4'
'-y+1/4,x+1/4,-z+3/4'
'x,-y,-z'
'-x,y,z'
'-y+1/4,-x+1/4,-z+3/4'
'y+1/4,x+1/4,z+3/4'
'-x+1/2,y,-z+1/2'
'x+1/2,-y,z+1/2'
'y+1/4,x+3/4,-z+1/4'
'-y+1/4,-x+3/4,z+1/4'
'x+1/2,y+1/2,z+1/2'
'-x+1/2,-y+1/2,-z+1/2'
'-y+3/4,x+1/4,z+3/4'
'y+3/4,-x+1/4,-z+3/4'
'-x,-y+1/2,z'
'x,y+1/2,-z'
'y+3/4,-x+3/4,z+1/4'
'-y+3/4,x+3/4,-z+1/4'
'x+1/2,-y+1/2,-z+1/2'
'-x+1/2,y+1/2,z+1/2'
'-y+3/4,-x+3/4,-z+1/4'
'y+3/4,x+3/4,z+1/4'
'-x,y+1/2,-z'
'x,-y+1/2,z'
'y+3/4,x+1/4,-z+3/4'
'-y+3/4,-x+1/4,z+3/4'
loop_
_atom_site_label
_atom_site_fract_x
_atom_site_fract_y
_atom_site_fract_z
Ba1 0.000 0.250 0.375
Fe1 0.000 0.000 0.000
Pd1 0.000 0.250 0.875
# Energy relative to the elements (meV/atom): 422

---

# PBE-GGA BaFe2Pd2, relaxed
data_BaFe2Pd2
_cell_length_a 7.943
_cell_length_b 7.943
_cell_length_c 2.968
_cell_angle_alpha 90.00
_cell_angle_beta 90.00
_cell_angle_gamma 90.00
_space_group_name_H-M_alt 'P 4/m b m'
_space_group_IT_number 127
_space_group_name_Hall '-P 4 2ab'
loop_
_atom_site_label
_atom_site_fract_x
_atom_site_fract_y
_atom_site_fract_z
Ba1 0.000 0.000 0.000
Fe1 0.153 0.347 0.500
Pd1 0.131 0.631 0.000
# Energy relative to the elements (meV/atom): 279

---

# PBE-GGA BaFeRe2Pd, relaxed
data_BaFeRe2Pd
_cell_length_a 4.981
_cell_length_b 4.981
_cell_length_c 4.689
_cell_angle_alpha 90.00
_cell_angle_beta 90.00
_cell_angle_gamma 90.00
_space_group_name_H-M_alt 'P 4/m m m'
_space_group_IT_number 123
_space_group_name_Hall '-P 4 2'
loop_
_atom_site_label
_atom_site_fract_x
_atom_site_fract_y
_atom_site_fract_z
Ba1 0.000 0.000 0.000
Fe1 0.000 0.000 0.500
Re1 0.000 0.500 0.000
Pd1 0.500 0.500 0.500
# Energy relative to the elements (meV/atom): 3391

---

# PBE-GGA Ba2FeSbPd, relaxed
data_Ba2FeSbPd
_cell_length_a 6.072
_cell_length_b 6.072
_cell_length_c 4.819
_cell_angle_alpha 90.00
_cell_angle_beta 90.00
_cell_angle_gamma 90.00
_space_group_name_H-M_alt 'P 4/m m m'
_space_group_IT_number 123
_space_group_name_Hall '-P 4 2'
loop_
_atom_site_label
_atom_site_fract_x
_atom_site_fract_y
_atom_site_fract_z
Ba1 0.000 0.500 0.000
Fe1 0.000 0.000 0.500
Sb1 0.500 0.500 0.500
Pd1 0.000 0.000 0.000
# Uncorrected formation energy (eV/atom): -0.0680